Computed, not measured: a relaxed ErCuBiRh crystal at the PBE-GGA level of DFT.

Cell lengths 4.8006, 4.8006, 4.8006 Å; angles 60.00, 60.00, 60.00 degrees
Last column: nearest neighbours and their distance in Å.
Fractional positions:
Rh 0.7500 0.7500 0.7500  4 Bi 2.94, 4 Er 2.94
Bi 0.5000 0.5000 0.5000  4 Cu 2.94, 4 Rh 2.94
Cu 0.2500 0.2500 0.2500  4 Bi 2.94, 4 Er 2.94
Er 0.0000 0.0000 0.0000  4 Cu 2.94, 4 Rh 2.94

Output
As for the energy of formation from the pure elements: -391 meV/atom. The density of states at the Fermi level is 0.71 states/eV per atom. The value obtained for the spin magnetization is 0.00 μB per cell. The value obtained for the energy is -5.363 eV/atom. The symmetry is No. 216.



Computed, not measured: a relaxed ErCuBi2S5 crystal at the PBE-GGA level of DFT.

Cell lengths 3.9380, 9.5130, 12.1517 Å; angles 90.00, 90.00, 101.95 degrees
Last column: nearest neighbours and their distance in Å.
Fractional positions:
Er 0.7999 0.5997 0.5091  6 S 2.67-2.76
Er 0.2001 0.4003 0.0091  6 S 2.67-2.76
Cu 0.5711 0.1421 0.9586  4 S 2.31-2.40
Cu 0.4289 0.8579 0.4586  4 S 2.31-2.40
Bi 0.9122 0.8243 0.7676  3 S 2.62-2.67
Bi 0.1505 0.3009 0.6787  3 S 2.63-2.71
Bi 0.0878 0.1757 0.2676  3 S 2.62-2.67
Bi 0.8495 0.6991 0.1787  3 S 2.63-2.71
S 0.3475 0.6950 0.0261  2 Bi 2.71, 1 Er 2.75
S 0.6838 0.3677 0.8630  1 Cu 2.40, 2 Er 2.67
S 0.5069 0.0137 0.7963  1 Cu 2.31
S 0.2916 0.5831 0.6674  1 Bi 2.63, 2 Er 2.76
S 0.9433 0.8865 0.5571  2 Cu 2.32
S 0.6525 0.3050 0.5261  2 Bi 2.71, 1 Er 2.75
S 0.3162 0.6323 0.3630  1 Cu 2.40, 2 Er 2.67
S 0.4931 0.9863 0.2963  1 Cu 2.31
S 0.7084 0.4169 0.1674  1 Bi 2.63, 2 Er 2.76
S 0.0567 0.1135 0.0571  2 Cu 2.32

Output
The value obtained for the spin magnetization is 0.00 μB per cell. The value obtained for the energy is -4.902 eV/atom. The symmetry is No. 36.



Computed, not measured: a relaxed Eu2CuBi crystal at the PBE-GGA level of DFT.

Cell lengths 3.8645, 3.8645, 10.6570 Å; angles 79.55, 79.55, 60.00 degrees
Last column: nearest neighbours and their distance in Å.
Fractional positions:
Eu 0.1048 0.1048 0.6855  3 Cu 2.95, 1 Bi 3.28
Eu 0.8952 0.8952 0.3145  3 Cu 2.95, 1 Bi 3.28
Bi 0.0000 0.0000 0.0000  2 Eu 3.28
Cu 0.5000 0.5000 0.5000  6 Eu 2.95

Output
As for the energy of formation from the pure elements: 30 meV/atom. The density of states at the Fermi level is 2.41 states/eV per atom. The value obtained for the spin magnetization is 14.64 μB per cell. The value obtained for the energy is -7.101 eV/atom. The symmetry is No. 166.



Computed, not measured: a relaxed EuCu4Bi crystal at the PBE-GGA level of DFT.

Cell lengths 5.3314, 5.3314, 5.3314 Å; angles 60.00, 60.00, 60.00 degrees
Last column: nearest neighbours and their distance in Å.
Fractional positions:
Eu 0.0000 0.0000 0.0000  12 Cu 3.13, 4 Bi 3.26
Bi 0.2500 0.2500 0.2500  12 Cu 3.13, 4 Eu 3.26
Cu 0.6253 0.6253 0.1240  6 Cu 2.66-2.67
Cu 0.6253 0.1240 0.6253  6 Cu 2.66-2.67
Cu 0.6253 0.6253 0.6253  6 Cu 2.66-2.67
Cu 0.1240 0.6253 0.6253  6 Cu 2.66-2.67

Output
As for the energy of formation from the pure elements: -91 meV/atom. The density of states at the Fermi level is 0.50 states/eV per atom. The value obtained for the spin magnetization is 6.80 μB per cell. The value obtained for the energy is -5.181 eV/atom. The symmetry is No. 216.